The following is a GGA-PBE calculation of a geometry-optimized V2Te5Pd structure, from Alexandria. Values from VASP.

```
&SYSTEM
  ibrav = 0, nat = 8, ntyp = 3
/
ATOMIC_SPECIES
V 50.94 V.upf
Te 127.60 Te.upf
Pd 106.42 Pd.upf
CELL_PARAMETERS angstrom
4.677 0.000 1.571
2.339 6.434 0.785
0.100 0.000 7.451
ATOMIC_POSITIONS crystal
V 0.190 0.500 0.120
Te 0.000 0.500 0.500
V 0.810 0.500 0.880
Pd 0.500 0.500 0.500
Te 0.467 0.237 0.829
Te 0.533 0.763 0.171
Te 0.796 0.237 0.171
Te 0.204 0.763 0.829
```

Results
For the density of states at the Fermi level, the calculation gives 5.680 states/eV/f.u. As for the energy above the most stable polymorph in this dataset: 0.80 eV per formula unit. The calculation puts the uncorrected formation energy at -7 kJ/mol of atoms. For the total energy, the calculation gives -4.97 eV/atom. The calculation puts the magnetization at 0.01 μB/f.u.